A plane-wave DFT calculation with GGA-PBE was carried out for a relaxed structure of Ta4ZnRu.

a b c (Å): 7.5652 7.5652 7.5652
angles (deg): 90.00 90.00 90.00
With the nearest neighbours (Å) after each atom.
Space group F-43m (No. 216)
Asymmetric unit:
Ta 0.1249 0.1249 0.1249 (multiplicity 16)  6 Ta 2.67-2.68
Zn 0.2500 0.2500 0.7500 (multiplicity 4)  12 Ta 3.14, 4 Ru 3.28
Ru 0.0000 0.0000 0.5000 (multiplicity 4)  12 Ta 3.14, 4 Zn 3.28

Values from the calculation:
Total magnetic moment (μB/f.u.): 0.0
ΔH_f (0 K) (eV per atom): 0.452
Density (Mg/m³): 13.7
E (Ry per atom): -0.6768

A plane-wave DFT calculation with GGA-PBE was carried out for a relaxed structure of Ta2Zn2Ru.

a b c (Å): 3.7967 3.7967 11.8332
angles (deg): 90.00 90.00 90.00
With the nearest neighbours (Å) after each atom.
Space group I4/mmm (No. 139)
Asymmetric unit:
Ta 0.0000 0.5000 0.2500 (multiplicity 4)  4 Zn 2.66, 4 Ta 2.68
Zn 0.0000 0.0000 0.0926 (multiplicity 4)  1 Zn 2.19
Ru 0.0000 0.0000 0.5000 (multiplicity 2)  8 Zn 2.90

Values from the calculation:
Total magnetic moment (μB/f.u.): 0.7
ΔH_f (0 K) (eV per atom): 0.549
Density (Mg/m³): 11.6
E (Ry per atom): -0.4819

A plane-wave DFT calculation with GGA-PBE was carried out for a relaxed structure of Ta2ZnRu.

a b c (Å): 3.1482 3.1482 6.5686
angles (deg): 90.00 90.00 90.00
With the nearest neighbours (Å) after each atom.
Space group P4mm (No. 99)
Asymmetric unit:
Ta 0.0000 0.0000 0.0000 (multiplicity 1)  4 Ru 2.66, 4 Ta 2.93, 1 Zn 2.96
Ta 0.5000 0.5000 0.2911 (multiplicity 1)  4 Zn 2.80, 4 Ta 2.93
Zn 0.0000 0.0000 0.5499 (multiplicity 1)  4 Ru 2.69, 5 Ta 2.80-2.96
Ru 0.5000 0.5000 0.7787 (multiplicity 1)  4 Ta 2.66, 4 Zn 2.69

Values from the calculation:
Total magnetic moment (μB/f.u.): 0.0
ΔH_f (0 K) (eV per atom): -0.145
Density (Mg/m³): 13.5
E (Ry per atom): -0.6400

A plane-wave DFT calculation with GGA-PBE was carried out for a relaxed structure of TaZnRu2.

a b c (Å): 5.6195 8.6013 2.7716
angles (deg): 90.00 115.67 90.00
With the nearest neighbours (Å) after each atom.
Space group C2/m (No. 12)
Asymmetric unit:
Ta 0.0000 0.0000 0.0000 (multiplicity 2)  4 Ru 2.61, 2 Ta 2.77, 2 Zn 2.81
Zn 0.0000 0.5000 0.0000 (multiplicity 2)  4 Ru 2.61, 2 Zn 2.77, 2 Ta 2.81
Ru 0.2500 0.2500 0.5000 (multiplicity 4)  2 Ta 2.61, 2 Zn 2.61, 4 Ru 2.77-2.81

Values from the calculation:
Total magnetic moment (μB/f.u.): 0.0
ΔH_f (0 K) (eV per atom): -0.004
Density (Mg/m³): 12.3
E (Ry per atom): -0.5824

A plane-wave DFT calculation with GGA-PBE was carried out for a relaxed structure of Ta2ZnRu.

a b c (Å): 6.3730 6.3730 6.3730
angles (deg): 90.00 90.00 90.00
With the nearest neighbours (Å) after each atom.
Space group F-43m (No. 216)
Asymmetric unit:
Ta 0.0000 0.0000 0.0000 (multiplicity 4)  4 Ta 2.76, 4 Ru 2.76
Ta 0.2500 0.2500 0.2500 (multiplicity 4)  4 Ta 2.76, 4 Zn 2.76
Zn 0.0000 0.0000 0.5000 (multiplicity 4)  4 Ta 2.76, 4 Ru 2.76
Ru 0.2500 0.2500 0.7500 (multiplicity 4)  4 Ta 2.76, 4 Zn 2.76

Values from the calculation:
Total magnetic moment (μB/f.u.): 1.3
ΔH_f (0 K) (eV per atom): 0.086
Density (Mg/m³): 13.6
E (Ry per atom): -0.6231

A plane-wave DFT calculation with GGA-PBE was carried out for a relaxed structure of Ta2ZnRu.

a b c (Å): 3.8285 3.8285 8.8144
angles (deg): 90.00 90.00 90.00
With the nearest neighbours (Å) after each atom.
Space group I-4m2 (No. 119)
Asymmetric unit:
Ta 0.0000 0.0000 0.0000 (multiplicity 2)  4 Ru 2.71, 4 Ta 2.92, 4 Zn 2.92
Ta 0.0000 0.5000 0.2500 (multiplicity 2)  4 Zn 2.71, 4 Ta 2.92, 4 Ru 2.92
Zn 0.0000 0.5000 0.7500 (multiplicity 2)  8 Ta 2.71-2.92, 4 Ru 2.92
Ru 0.0000 0.0000 0.5000 (multiplicity 2)  8 Ta 2.71-2.92, 4 Zn 2.92

Values from the calculation:
Total magnetic moment (μB/f.u.): 0.0
ΔH_f (0 K) (eV per atom): -0.034
Density (Mg/m³): 13.6
E (Ry per atom): -0.6319

> Among the records above, which one has the lowest E?

Ta4ZnRu

> The lowest density belongs to which entry?

Ta2Zn2Ru